Density functional theory data (PBE-GGA) for crystalline Rb2CdAgF6 at its relaxed geometry.

```
data_Rb2CdAgF6
_symmetry_space_group_name_H-M 'I 4/m m m'
_symmetry_Int_Tables_number 139
_symmetry_space_group_name_Hall '-I 4 2'
_cell_length_a 6.2510
_cell_length_b 6.2510
_cell_length_c 9.3199
_cell_angle_alpha 90.00
_cell_angle_beta 90.00
_cell_angle_gamma 90.00
loop_
_atom_site_label
_atom_site_fract_x
_atom_site_fract_y
_atom_site_fract_z
_atom_site_occupancy
Rb1 0.0000 0.5000 0.2500 1
Cd1 0.0000 0.0000 0.0000 1
Ag1 0.0000 0.0000 0.5000 1
F1 0.0000 0.0000 0.2336 1
F2 0.2438 0.2438 0.5000 1
```

Values from the calculation:
The calculation puts the size of the total moment at 2.0 μB per cell. Its uncorrected formation energy is -2.130 eV per atom. The crystal system is tetragonal.


Density functional theory data (PBE-GGA) for crystalline CdAg2RhF8 at its relaxed geometry.

```
data_CdAg2RhF8
_symmetry_space_group_name_H-M 'P 1 2/m 1'
_symmetry_Int_Tables_number 10
_cell_length_a 5.1455
_cell_length_b 6.9783
_cell_length_c 5.3427
_cell_angle_alpha 90.00
_cell_angle_beta 93.69
_cell_angle_gamma 90.00
loop_
_symmetry_equiv_pos_as_xyz
'x,y,z'
'-x,-y,-z'
'-x,y,-z'
'x,-y,z'
loop_
_atom_site_label
_atom_site_fract_x
_atom_site_fract_y
_atom_site_fract_z
_atom_site_occupancy
Cd1 0.0000 0.0000 0.0000 1
Ag1 0.5000 0.2561 0.5000 1
Rh1 0.0000 0.5000 0.0000 1
F1 0.1750 0.2833 0.8316 1
F2 0.2781 0.5000 0.2753 1
F3 0.3041 0.0000 0.2994 1
```

Values from the calculation:
The calculation puts the size of the total moment at 0.5 μB per cell. Its uncorrected formation energy is -1.541 eV per atom. The crystal system is monoclinic.